<w>
NdTmSn: relaxed, PBE.

Results
* SG: Pnma
* magnetization: 0.22 μB per atom

abc: 4.524 8.198 9.754
angles: 90.00 90.00 90.00
Each line ends with the local moment (μB).
Positions (direct):
Nd1 0.750 0.037 0.167  0.17
Nd2 0.250 0.463 0.667  0.17
Nd3 0.250 0.963 0.833  0.17
Nd4 0.750 0.537 0.333  0.17
Tm1 0.750 0.134 0.566  0.17
Tm2 0.250 0.366 0.066  0.17
Tm3 0.250 0.866 0.434  0.17
Tm4 0.750 0.634 0.934  0.17
Sn1 0.750 0.757 0.635  -0.01
Sn2 0.250 0.743 0.135  -0.01
Sn3 0.250 0.243 0.365  -0.01
Sn4 0.750 0.257 0.865  -0.01

***

<x>
NdTmSn: relaxed, PBE.

Results
* SG: I4/mmm
* magnetization: 0.14 μB per atom

abc: 4.629 4.629 9.077
angles: 104.77 104.77 89.99
Each line ends with the local moment (μB).
Positions (direct):
Nd1 0.324 0.324 0.649  0.12
Nd2 0.676 0.676 0.351  0.12
Tm1 0.500 0.000 0.000  0.11
Tm2 0.000 0.500 0.000  0.11
Sn1 0.869 0.869 0.737  -0.01
Sn2 0.131 0.131 0.263  -0.01

***

<y>
NdTmSn: relaxed, PBE.

Results
* SG: I4mm
* magnetization: 0.03 μB per atom

abc: 3.350 3.350 9.029
angles: 100.69 100.69 90.00
Each line ends with the local moment (μB).
Positions (direct):
Tm1 0.759 0.759 0.519  0.08
Nd1 0.955 0.955 0.909  0.00
Sn1 0.136 0.136 0.272  0.00

***

Compare the structures above. Which one is the least stable? <y> is.